[1]
GaTcSn2 | GGA-PBE | relaxed

The structure belongs to space group F-43m (No. 216); the cell edges are 6.848, 6.848 and 6.848 Å and the angles 90.00°, 90.00° and 90.00°. The distinct sites, in fractional coordinates, are Ga at (0.000, 0.000, 0.000), Tc at (0.250, 0.250, 0.750), Sn at (0.000, 0.000, 0.500) and Sn at (0.250, 0.250, 0.250).



[2]
TmLu2Si4Pd4 | GGA-PBE | relaxed

The structure belongs to space group Immm (No. 71); the cell edges are 4.062, 6.941 and 13.501 Å and the angles 90.00°, 90.00° and 90.00°. The distinct sites, in fractional coordinates, are Tm at (0.000, 0.000, 0.000), Lu at (0.000, 0.500, 0.124), Si at (0.000, 0.000, 0.220), Si at (0.000, 0.181, 0.500) and Pd at (0.000, 0.298, 0.326).



[3]
CsAg3GeTe4 | GGA-PBE | relaxed

The value obtained for the energy above the most stable polymorph in this dataset is 96 meV/atom.

The structure belongs to space group P-43m (No. 215); the cell edges are 7.121, 7.121 and 7.121 Å and the angles 90.00°, 90.00° and 90.00°. The distinct sites, in fractional coordinates, are Cs at (0.000, 0.000, 0.000), Ag at (0.000, 0.500, 0.500), Ge at (0.500, 0.500, 0.500) and Te at (0.290, 0.290, 0.290).



[4]
TbTlCdS3 | GGA-PBE | relaxed

The value obtained for the energy above the most stable polymorph in this dataset is 4 meV/atom.

The structure belongs to space group P2_1/m (No. 11); the cell edges are 8.005, 4.115 and 10.467 Å and the angles 90.00°, 107.79° and 90.00°. The distinct sites, in fractional coordinates, are Tb at (0.194, 0.250, 0.130), Tl at (0.228, 0.750, 0.731), Cd at (0.430, 0.750, 0.383), S at (0.039, 0.250, 0.864), S at (0.261, 0.250, 0.426) and S at (0.430, 0.750, 0.144).



[5]
LiErU | GGA-PBE | relaxed

The value obtained for the energy above the most stable polymorph in this dataset is 0 meV/atom.

The structure belongs to space group F-43m (No. 216); the cell edges are 6.770, 6.770 and 6.770 Å and the angles 90.00°, 90.00° and 90.00°. The distinct sites, in fractional coordinates, are Li at (0.000, 0.000, 0.000), Er at (0.250, 0.250, 0.750) and U at (0.250, 0.250, 0.250).



[6]
LuNiBiMo | GGA-PBE | relaxed

The value obtained for the energy above the most stable polymorph in this dataset is 307 meV/atom.

The structure belongs to space group F-43m (No. 216); the cell edges are 6.882, 6.882 and 6.882 Å and the angles 90.00°, 90.00° and 90.00°. The distinct sites, in fractional coordinates, are Lu at (0.000, 0.000, 0.000), Ni at (0.000, 0.000, 0.500), Bi at (0.250, 0.250, 0.250) and Mo at (0.250, 0.250, 0.750).



[7]
KAuSeO | GGA-PBE | relaxed

The value obtained for the energy above the most stable polymorph in this dataset is 0 meV/atom.

The structure belongs to space group P2_1/c (No. 14); the cell edges are 5.435, 6.885 and 10.365 Å and the angles 90.00°, 98.49° and 90.00°. The distinct sites, in fractional coordinates, are K at (0.238, 0.198, 0.475), Au at (0.483, 0.520, 0.726), Se at (0.212, 0.733, 0.308) and O at (0.237, 0.705, 0.976).



[8]
NdNpW | GGA-PBE | relaxed

As for the calculated formation energy: 98 kJ/mol of atoms. The value obtained for the energy above the most stable polymorph in this dataset is 0 meV/atom.

The structure belongs to space group F-43m (No. 216); the cell edges are 6.765, 6.765 and 6.765 Å and the angles 90.00°, 90.00° and 90.00°. The distinct sites, in fractional coordinates, are Nd at (0.000, 0.000, 0.000), Np at (0.000, 0.000, 0.500) and W at (0.250, 0.250, 0.750).



[9]
CsIrPt | GGA-PBE | relaxed

The value obtained for the energy above the most stable polymorph in this dataset is 115 meV/atom.

The structure belongs to space group F-43m (No. 216); the cell edges are 6.846, 6.846 and 6.846 Å and the angles 90.00°, 90.00° and 90.00°. The distinct sites, in fractional coordinates, are Cs at (0.000, 0.000, 0.000), Ir at (0.000, 0.000, 0.500) and Pt at (0.250, 0.250, 0.250).



[10]
Ag7Ge | GGA-PBE | relaxed

The value obtained for the energy above the most stable polymorph in this dataset is 17 meV/atom.

The structure belongs to space group Pmmn (No. 59, origin choice 2); the cell edges are 2.885, 4.201 and 37.917 Å and the angles 90.00°, 90.00° and 90.00°. The distinct sites, in fractional coordinates, are Ag at (0.250, 0.250, 0.019), Ag at (0.250, 0.250, 0.097), Ag at (0.250, 0.250, 0.175), Ag at (0.250, 0.250, 0.256), Ag at (0.250, 0.250, 0.786), Ag at (0.250, 0.250, 0.864), Ag at (0.250, 0.250, 0.942) and Ge at (0.250, 0.250, 0.712).



[11]
Zr2ReNi | GGA-PBE | relaxed

As for the calculated formation energy: -29 kJ/mol of atoms.

The structure belongs to space group Cmcm (No. 63); the cell edges are 6.370, 9.410 and 4.615 Å and the angles 90.00°, 90.00° and 90.00°. The distinct sites, in fractional coordinates, are Zr at (0.247, 0.122, 0.250), Re at (0.000, 0.374, 0.250) and Ni at (0.000, 0.149, 0.750).



[12]
LiHfHg | GGA-PBE | relaxed

The value obtained for the energy above the most stable polymorph in this dataset is 265 meV/atom.

The structure belongs to space group P4/mmm (No. 123); the cell edges are 3.191, 3.191 and 11.183 Å and the angles 90.00°, 90.00° and 90.00°. The distinct sites, in fractional coordinates, are Li at (0.000, 0.000, 0.136), Hf at (0.500, 0.500, 0.316), Hg at (0.000, 0.000, 0.500) and Hg at (0.500, 0.500, 0.000).



[13]
NdAl5CuIr | GGA-PBE | relaxed

The structure belongs to space group Imm2 (No. 44); the cell edges are 4.040, 7.213 and 9.806 Å and the angles 90.00°, 90.00° and 90.00°. The distinct sites, in fractional coordinates, are Nd at (0.000, 0.000, 0.000), Al at (0.000, 0.188, 0.353), Al at (0.000, 0.191, 0.657), Al at (0.000, 0.500, 0.015), Cu at (0.000, 0.500, 0.256) and Ir at (0.000, 0.500, 0.770).



[14]
NdAuO3 | GGA-PBE | relaxed

The structure belongs to space group R-3 (No. 148, hexagonal axes); the cell edges are 5.9186, 5.9186 and 14.4349 Å and the angles 90.00°, 90.00° and 120.00°. The distinct sites, in fractional coordinates, are Nd at (0.0000, 0.0000, 0.1308), Au at (0.0000, 0.0000, 0.3534) and O at (0.0201, 0.7202, 0.2539).



[15]
LaPr2Cd3Cu2Ag | GGA-PBE | relaxed

As for the calculated formation energy: -28 kJ/mol of atoms.

The structure belongs to space group Amm2 (No. 38); the cell edges are 4.025, 13.622 and 7.887 Å and the angles 90.00°, 90.00° and 90.00°. The distinct sites, in fractional coordinates, are La at (0.000, 0.000, 0.000), Pr at (0.000, 0.206, 0.378), Cd at (0.500, 0.000, 0.328), Cd at (0.500, 0.131, 0.715), Cu at (0.500, 0.167, 0.086) and Ag at (0.000, 0.000, 0.586).



[16]
NaPuB | GGA-PBE | relaxed

The value obtained for the energy above the most stable polymorph in this dataset is 588 meV/atom.

The structure belongs to space group F-43m (No. 216); the cell edges are 6.371, 6.371 and 6.371 Å and the angles 90.00°, 90.00° and 90.00°. The distinct sites, in fractional coordinates, are Na at (0.000, 0.000, 0.000), Pu at (0.250, 0.250, 0.750) and B at (0.000, 0.000, 0.500).



[17]
TbPmPO | GGA-PBE | relaxed

The value obtained for the energy above the most stable polymorph in this dataset is 149 meV/atom.

The structure belongs to space group P4/nmm (No. 129, origin choice 2); the cell edges are 4.325, 4.325 and 8.826 Å and the angles 90.00°, 90.00° and 90.00°. The distinct sites, in fractional coordinates, are Tb at (0.250, 0.250, 0.100), Pm at (0.250, 0.750, 0.500), P at (0.250, 0.250, 0.706) and O at (0.250, 0.750, 0.000).



[18]
Fe2SnB | GGA-PBE | relaxed

The value obtained for the energy above the most stable polymorph in this dataset is 0 meV/atom.

The structure belongs to space group Pm-3m (No. 221); the cell edges are 5.842, 5.842 and 5.842 Å and the angles 90.00°, 90.00° and 90.00°. The distinct sites, in fractional coordinates, are Fe at (0.207, 0.207, 0.207), Sn at (0.000, 0.500, 0.500), Sn at (0.500, 0.500, 0.500), B at (0.000, 0.000, 0.000) and B at (0.000, 0.000, 0.500).



[19]
Hf2Pt3Pb | GGA-PBE | relaxed

The structure belongs to space group P4mm (No. 99); the cell edges are 3.520, 3.520 and 9.285 Å and the angles 90.00°, 90.00° and 90.00°. The distinct sites, in fractional coordinates, are Hf at (0.000, 0.000, 0.000), Hf at (0.500, 0.500, 0.433), Pt at (0.000, 0.000, 0.308), Pt at (0.500, 0.500, 0.140), Pt at (0.500, 0.500, 0.840) and Pb at (0.000, 0.000, 0.658).



[20]
ZrCoGePd | GGA-PBE | relaxed

The value obtained for the energy above the most stable polymorph in this dataset is 122 meV/atom.

The structure belongs to space group F-43m (No. 216); the cell edges are 6.350, 6.350 and 6.350 Å and the angles 90.00°, 90.00° and 90.00°. The distinct sites, in fractional coordinates, are Zr at (0.000, 0.000, 0.000), Co at (0.000, 0.000, 0.500), Ge at (0.250, 0.250, 0.250) and Pd at (0.250, 0.250, 0.750).



[21]
HfInCo2 | GGA-PBE | relaxed

The structure belongs to space group P4/mmm (No. 123); the cell edges are 3.176, 3.176 and 6.035 Å and the angles 90.00°, 90.00° and 90.00°. The distinct sites, in fractional coordinates, are Hf at (0.000, 0.000, 0.000), In at (0.000, 0.000, 0.500) and Co at (0.500, 0.500, 0.241).



[22]
TaHg2Pb | GGA-PBE | relaxed

The structure belongs to space group F-43m (No. 216); the cell edges are 7.188, 7.188 and 7.188 Å and the angles 90.00°, 90.00° and 90.00°. The distinct sites, in fractional coordinates, are Ta at (0.000, 0.000, 0.000), Hg at (0.000, 0.000, 0.500), Hg at (0.250, 0.250, 0.250) and Pb at (0.250, 0.250, 0.750).



[23]
TbDyCo2Si4 | GGA-PBE | relaxed

The structure belongs to space group Amm2 (No. 38); the cell edges are 3.963, 4.026 and 16.255 Å and the angles 90.00°, 90.00° and 90.00°. The distinct sites, in fractional coordinates, are Tb at (0.000, 0.000, 0.000), Dy at (0.500, 0.000, 0.216), Co at (0.000, 0.000, 0.787), Co at (0.500, 0.000, 0.429), Si at (0.000, 0.000, 0.357), Si at (0.000, 0.000, 0.651), Si at (0.500, 0.000, 0.565) and Si at (0.500, 0.000, 0.858).



[24]
KCd5Au2 | GGA-PBE | relaxed

The structure belongs to space group Immm (No. 71); the cell edges are 4.436, 8.356 and 10.880 Å and the angles 90.00°, 90.00° and 90.00°. The distinct sites, in fractional coordinates, are K at (0.000, 0.000, 0.000), Cd at (0.000, 0.189, 0.350), Cd at (0.000, 0.500, 0.000) and Au at (0.000, 0.500, 0.257).



[25]
SrNpPb | GGA-PBE | relaxed

The structure belongs to space group F-43m (No. 216); the cell edges are 7.772, 7.772 and 7.772 Å and the angles 90.00°, 90.00° and 90.00°. The distinct sites, in fractional coordinates, are Sr at (0.000, 0.000, 0.000), Np at (0.000, 0.000, 0.500) and Pb at (0.250, 0.250, 0.750).



| no. | energy (eV/atom) |
| --- | --- |
| 1 | -4.825 |
| 2 | -6.038 |
| 3 | -3.143 |
| 4 | -4.499 |
| 5 | -4.777 |
| 6 | -5.672 |
| 7 | -3.926 |
| 8 | -9.144 |
| 9 | -3.691 |
| 10 | -2.970 |
| 11 | -9.074 |
| 12 | -3.998 |
| 13 | -5.081 |
| 14 | -5.968 |
| 15 | -3.339 |
| 16 | -6.086 |
| 17 | -6.769 |
| 18 | -6.439 |
| 19 | -7.739 |
| 20 | -6.660 |
| 21 | -6.945 |
| 22 | -3.231 |
| 23 | -6.430 |
| 24 | -1.703 |
| 25 | -5.694 |